Entry 1:
# PBE BeZn2Rh, optimized geometry
# - VASP energy: -14.2 eV per cell
# - DFT formation energy: -0.149 eV/atom
data_BeZn2Rh
_cell_length_a 2.760
_cell_length_b 3.963
_cell_length_c 4.840
_cell_angle_alpha 90.00
_cell_angle_beta 105.20
_cell_angle_gamma 90.00
_space_group_name_H-M_alt 'P 1 2/m 1'
_space_group_IT_number 10
loop_
_space_group_symop_operation_xyz
'x,y,z'
'-x,-y,-z'
'-x,y,-z'
'x,-y,z'
loop_
_atom_site_label
_atom_site_type_symbol
_atom_site_fract_x
_atom_site_fract_y
_atom_site_fract_z
_atom_site_occupancy
Be1 Be 0.000 0.000 0.000 1
Zn1 Zn 0.153 0.500 0.761 1
Rh1 Rh 0.500 0.000 0.500 1


Entry 2:
# PBE CrCoTcAs, optimized geometry
# - VASP energy: -126.7 eV per cell
# - DFT formation energy: 0.018 eV/atom
data_CrCoTcAs
_cell_length_a 5.930
_cell_length_b 5.930
_cell_length_c 5.930
_cell_angle_alpha 90.00
_cell_angle_beta 90.00
_cell_angle_gamma 90.00
_space_group_name_H-M_alt 'F -4 3 m'
_space_group_IT_number 216
_space_group_name_Hall 'F -4 2 3'
loop_
_atom_site_label
_atom_site_type_symbol
_atom_site_fract_x
_atom_site_fract_y
_atom_site_fract_z
_atom_site_occupancy
Cr1 Cr 0.000 0.000 0.000 1
Co1 Co 0.250 0.250 0.250 1
Tc1 Tc 0.250 0.250 0.750 1
As1 As 0.000 0.000 0.500 1


Entry 3:
# PBE CsTi3Sb, optimized geometry
# - Energy relative to the elements, uncorrected: 1.01 eV/atom
# - VASP energy: -23.6 eV per cell
data_CsTi3Sb
_cell_length_a 5.475
_cell_length_b 5.475
_cell_length_c 5.475
_cell_angle_alpha 90.00
_cell_angle_beta 90.00
_cell_angle_gamma 90.00
_space_group_name_H-M_alt 'P m -3 m'
_space_group_IT_number 221
_space_group_name_Hall '-P 4 2 3'
loop_
_atom_site_label
_atom_site_type_symbol
_atom_site_fract_x
_atom_site_fract_y
_atom_site_fract_z
_atom_site_occupancy
Cs1 Cs 0.000 0.000 0.000 1
Ti1 Ti 0.000 0.500 0.500 1
Sb1 Sb 0.500 0.500 0.500 1


Entry 4:
# PBE LiNiTeI2, optimized geometry
# - Energy relative to the elements, uncorrected: -0.09 eV/atom
# - VASP energy: -14.4 eV per cell
data_LiNiTeI2
_cell_length_a 5.548
_cell_length_b 5.548
_cell_length_c 4.964
_cell_angle_alpha 90.00
_cell_angle_beta 90.00
_cell_angle_gamma 90.00
_space_group_name_H-M_alt 'P 4/m m m'
_space_group_IT_number 123
_space_group_name_Hall '-P 4 2'
loop_
_atom_site_label
_atom_site_type_symbol
_atom_site_fract_x
_atom_site_fract_y
_atom_site_fract_z
_atom_site_occupancy
Li1 Li 0.000 0.000 0.000 1
Ni1 Ni 0.500 0.500 0.500 1
Te1 Te 0.500 0.500 0.000 1
I1 I 0.000 0.500 0.500 1


Entry 5:
# PBE MnZnRuRh, optimized geometry
# - VASP energy: -110.6 eV per cell
# - DFT formation energy: -0.144 eV/atom
data_MnZnRuRh
_cell_length_a 6.000
_cell_length_b 6.000
_cell_length_c 6.000
_cell_angle_alpha 90.00
_cell_angle_beta 90.00
_cell_angle_gamma 90.00
_space_group_name_H-M_alt 'F -4 3 m'
_space_group_IT_number 216
_space_group_name_Hall 'F -4 2 3'
loop_
_atom_site_label
_atom_site_type_symbol
_atom_site_fract_x
_atom_site_fract_y
_atom_site_fract_z
_atom_site_occupancy
Mn1 Mn 0.000 0.000 0.000 1
Zn1 Zn 0.000 0.000 0.500 1
Ru1 Ru 0.250 0.250 0.250 1
Rh1 Rh 0.250 0.250 0.750 1


Entry 6:
# PBE RbCdCu2Cl6, optimized geometry
# - Energy relative to the elements, uncorrected: -0.93 eV/atom
# - VASP energy: -122.0 eV per cell
data_RbCdCu2Cl6
_cell_length_a 13.719
_cell_length_b 13.109
_cell_length_c 7.915
_cell_angle_alpha 90.00
_cell_angle_beta 114.23
_cell_angle_gamma 90.00
_space_group_name_H-M_alt 'C 1 2/c 1'
_space_group_IT_number 15
loop_
_space_group_symop_operation_xyz
'x,y,z'
'-x,-y,-z'
'-x,y,-z+1/2'
'x,-y,z+1/2'
'x+1/2,y+1/2,z'
'-x+1/2,-y+1/2,-z'
'-x+1/2,y+1/2,-z+1/2'
'x+1/2,-y+1/2,z+1/2'
loop_
_atom_site_label
_atom_site_type_symbol
_atom_site_fract_x
_atom_site_fract_y
_atom_site_fract_z
_atom_site_occupancy
Rb1 Rb 0.000 0.131 0.250 1
Cd1 Cd 0.000 0.215 0.750 1
Cu1 Cu 0.192 0.446 0.180 1
Cl1 Cl 0.108 0.288 0.057 1
Cl2 Cl 0.120 0.081 0.691 1
Cl3 Cl 0.158 0.450 0.437 1


Entry 7:
# PBE TcTePb4, optimized geometry
# - Energy relative to the elements, uncorrected: 0.79 eV/atom
# - VASP energy: -94.3 eV per cell
data_TcTePb4
_cell_length_a 9.015
_cell_length_b 9.015
_cell_length_c 9.015
_cell_angle_alpha 90.00
_cell_angle_beta 90.00
_cell_angle_gamma 90.00
_space_group_name_H-M_alt 'F -4 3 m'
_space_group_IT_number 216
_space_group_name_Hall 'F -4 2 3'
loop_
_atom_site_label
_atom_site_type_symbol
_atom_site_fract_x
_atom_site_fract_y
_atom_site_fract_z
_atom_site_occupancy
Tc1 Tc 0.000 0.000 0.000 1
Te1 Te 0.250 0.250 0.750 1
Pb1 Pb 0.126 0.126 0.374 1


Entry 8:
# PBE RbS3N, optimized geometry
# - Energy relative to the elements, uncorrected: 0.90 eV/atom
# - VASP energy: -17.2 eV per cell
data_RbS3N
_cell_length_a 4.482
_cell_length_b 4.482
_cell_length_c 4.482
_cell_angle_alpha 90.00
_cell_angle_beta 90.00
_cell_angle_gamma 90.00
_space_group_name_H-M_alt 'P m -3 m'
_space_group_IT_number 221
_space_group_name_Hall '-P 4 2 3'
loop_
_atom_site_label
_atom_site_type_symbol
_atom_site_fract_x
_atom_site_fract_y
_atom_site_fract_z
_atom_site_occupancy
Rb1 Rb 0.000 0.000 0.000 1
S1 S 0.000 0.500 0.500 1
N1 N 0.500 0.500 0.500 1


Entry 9:
# PBE Pm5ErCu6, optimized geometry
# - VASP energy: -110.1 eV per cell
# - DFT formation energy: -0.181 eV/atom
data_Pm5ErCu6
_cell_length_a 15.895
_cell_length_b 7.040
_cell_length_c 5.031
_cell_angle_alpha 90.00
_cell_angle_beta 108.34
_cell_angle_gamma 90.00
_space_group_name_H-M_alt 'C 1 2/m 1'
_space_group_IT_number 12
loop_
_space_group_symop_operation_xyz
'x,y,z'
'-x,-y,-z'
'-x,y,-z'
'x,-y,z'
'x+1/2,y+1/2,z'
'-x+1/2,-y+1/2,-z'
'-x+1/2,y+1/2,-z'
'x+1/2,-y+1/2,z'
loop_
_atom_site_label
_atom_site_type_symbol
_atom_site_fract_x
_atom_site_fract_y
_atom_site_fract_z
_atom_site_occupancy
Pm1 Pm 0.000 0.000 0.000 1
Pm2 Pm 0.166 0.000 0.666 1
Pm3 Pm 0.167 0.500 0.666 1
Er1 Er 0.000 0.500 0.000 1
Cu1 Cu 0.000 0.265 0.500 1
Cu2 Cu 0.162 0.258 0.161 1


Entry 10:
# PBE La2PmYEr2, optimized geometry
# - VASP energy: -60.0 eV per cell
# - DFT formation energy: 0.033 eV/atom
data_La2PmYEr2
_cell_length_a 5.793
_cell_length_b 11.053
_cell_length_c 6.373
_cell_angle_alpha 90.00
_cell_angle_beta 90.00
_cell_angle_gamma 90.00
_space_group_name_H-M_alt 'P m c 21'
_space_group_IT_number 26
loop_
_space_group_symop_operation_xyz
'x,y,z'
'-x,-y,z+1/2'
'-x,y,z'
'x,-y,z+1/2'
loop_
_atom_site_label
_atom_site_type_symbol
_atom_site_fract_x
_atom_site_fract_y
_atom_site_fract_z
_atom_site_occupancy
La1 La 0.000 0.084 0.000 1
La2 La 0.500 0.250 0.166 1
Pm1 Pm 0.000 0.254 0.504 1
Y1 Y 0.500 0.419 0.668 1
Er1 Er 0.000 0.421 0.001 1
Er2 Er 0.500 0.085 0.669 1


Entry 11:
# PBE LaEuMgAg, optimized geometry
# - VASP energy: -80.9 eV per cell
# - DFT formation energy: -0.141 eV/atom
data_LaEuMgAg
_cell_length_a 7.802
_cell_length_b 7.802
_cell_length_c 7.802
_cell_angle_alpha 90.00
_cell_angle_beta 90.00
_cell_angle_gamma 90.00
_space_group_name_H-M_alt 'F -4 3 m'
_space_group_IT_number 216
_space_group_name_Hall 'F -4 2 3'
loop_
_atom_site_label
_atom_site_type_symbol
_atom_site_fract_x
_atom_site_fract_y
_atom_site_fract_z
_atom_site_occupancy
La1 La 0.000 0.000 0.000 1
Eu1 Eu 0.000 0.000 0.500 1
Mg1 Mg 0.250 0.250 0.250 1
Ag1 Ag 0.250 0.250 0.750 1


Entry 12:
# PBE Y5In2Pb, optimized geometry
# - VASP energy: -180.7 eV per cell
# - DFT formation energy: -0.457 eV/atom
data_Y5In2Pb
_cell_length_a 8.171
_cell_length_b 8.171
_cell_length_c 14.008
_cell_angle_alpha 90.00
_cell_angle_beta 90.00
_cell_angle_gamma 90.00
_space_group_name_H-M_alt 'I 4/m c m'
_space_group_IT_number 140
_space_group_name_Hall '-I 4 2c'
loop_
_atom_site_label
_atom_site_type_symbol
_atom_site_fract_x
_atom_site_fract_y
_atom_site_fract_z
_atom_site_occupancy
Y1 Y 0.000 0.000 0.000 1
Y2 Y 0.159 0.341 0.150 1
In1 In 0.135 0.365 0.500 1
Pb1 Pb 0.000 0.000 0.250 1


Entry 13:
# PBE Ac5Tm12Al3, optimized geometry
# - VASP energy: -545.3 eV per cell
# - DFT formation energy: 0.863 eV/atom
data_Ac5Tm12Al3
_cell_length_a 18.756
_cell_length_b 18.756
_cell_length_c 18.756
_cell_angle_alpha 90.00
_cell_angle_beta 90.00
_cell_angle_gamma 90.00
_space_group_name_H-M_alt 'I a -3 d'
_space_group_IT_number 230
_space_group_name_Hall '-I 4bd 2c 3'
loop_
_atom_site_label
_atom_site_type_symbol
_atom_site_fract_x
_atom_site_fract_y
_atom_site_fract_z
_atom_site_occupancy
Ac1 Ac 0.000 0.000 0.000 1
Ac2 Ac 0.000 0.250 0.375 1
Tm1 Tm 0.001 0.095 0.645 1
Al1 Al 0.000 0.250 0.125 1


Entry 14:
# PBE SbWSe2N, optimized geometry
# - Energy relative to the elements, uncorrected: 1.54 eV/atom
# - VASP energy: -24.6 eV per cell
data_SbWSe2N
_cell_length_a 5.324
_cell_length_b 5.324
_cell_length_c 3.823
_cell_angle_alpha 90.00
_cell_angle_beta 90.00
_cell_angle_gamma 90.00
_space_group_name_H-M_alt 'P 4/m m m'
_space_group_IT_number 123
_space_group_name_Hall '-P 4 2'
loop_
_atom_site_label
_atom_site_type_symbol
_atom_site_fract_x
_atom_site_fract_y
_atom_site_fract_z
_atom_site_occupancy
Sb1 Sb 0.000 0.000 0.000 1
W1 W 0.500 0.500 0.500 1
Se1 Se 0.000 0.500 0.000 1
N1 N 0.000 0.000 0.500 1


Entry 15:
# PBE BaZr2Br, optimized geometry
# - Energy relative to the elements, uncorrected: 0.27 eV/atom
# - VASP energy: -39.2 eV per cell
data_BaZr2Br
_cell_length_a 3.397
_cell_length_b 5.921
_cell_length_c 10.875
_cell_angle_alpha 90.00
_cell_angle_beta 90.00
_cell_angle_gamma 90.00
_space_group_name_H-M_alt 'C m m m'
_space_group_IT_number 65
_space_group_name_Hall '-C 2 2'
loop_
_atom_site_label
_atom_site_type_symbol
_atom_site_fract_x
_atom_site_fract_y
_atom_site_fract_z
_atom_site_occupancy
Ba1 Ba 0.000 0.000 0.000 1
Zr1 Zr 0.000 0.500 0.285 1
Br1 Br 0.000 0.000 0.500 1


Entry 16:
# PBE Be2AgTe, optimized geometry
# - Energy relative to the elements, uncorrected: 0.57 eV/atom
# - VASP energy: -11.1 eV per cell
data_Be2AgTe
_cell_length_a 3.544
_cell_length_b 3.650
_cell_length_c 5.261
_cell_angle_alpha 90.00
_cell_angle_beta 90.00
_cell_angle_gamma 90.00
_space_group_name_H-M_alt 'P m m m'
_space_group_IT_number 47
loop_
_space_group_symop_operation_xyz
'x,y,z'
'-x,-y,-z'
'-x,-y,z'
'x,y,-z'
'x,-y,-z'
'-x,y,z'
'-x,y,-z'
'x,-y,z'
loop_
_atom_site_label
_atom_site_type_symbol
_atom_site_fract_x
_atom_site_fract_y
_atom_site_fract_z
_atom_site_occupancy
Be1 Be 0.000 0.000 0.000 1
Be2 Be 0.000 0.500 0.500 1
Ag1 Ag 0.500 0.000 0.500 1
Te1 Te 0.500 0.500 0.000 1


Entry 17:
# PBE Pa3O, optimized geometry
# - Energy relative to the elements, uncorrected: -0.06 eV/atom
# - VASP energy: -67.4 eV per cell
data_Pa3O
_cell_length_a 5.9825
_cell_length_b 5.9825
_cell_length_c 5.0269
_cell_angle_alpha 90.00
_cell_angle_beta 90.00
_cell_angle_gamma 120.00
_space_group_name_H-M_alt 'P 63/m m c'
_space_group_IT_number 194
_space_group_name_Hall '-P 6c 2c'
loop_
_atom_site_label
_atom_site_type_symbol
_atom_site_fract_x
_atom_site_fract_y
_atom_site_fract_z
_atom_site_occupancy
Pa1 Pa 0.1680 0.3359 0.2500 1
O1 O 0.3333 0.6667 0.7500 1


Entry 18:
# PBE Cr3GeH, optimized geometry
# - VASP energy: -29.7 eV per cell
data_Cr3GeH
_cell_length_a 4.874
_cell_length_b 4.874
_cell_length_c 4.874
_cell_angle_alpha 90.00
_cell_angle_beta 90.00
_cell_angle_gamma 90.00
_space_group_name_H-M_alt 'P m -3 m'
_space_group_IT_number 221
_space_group_name_Hall '-P 4 2 3'
loop_
_atom_site_label
_atom_site_type_symbol
_atom_site_fract_x
_atom_site_fract_y
_atom_site_fract_z
_atom_site_occupancy
Cr1 Cr 0.000 0.000 0.500 1
Ge1 Ge 0.000 0.000 0.000 1
H1 H 0.500 0.500 0.500 1


Entry 19:
# PBE SrHBr3, optimized geometry
# - VASP energy: -13.9 eV per cell
data_SrHBr3
_cell_length_a 4.924
_cell_length_b 4.924
_cell_length_c 4.924
_cell_angle_alpha 90.00
_cell_angle_beta 90.00
_cell_angle_gamma 90.00
_space_group_name_H-M_alt 'P m -3 m'
_space_group_IT_number 221
_space_group_name_Hall '-P 4 2 3'
loop_
_atom_site_label
_atom_site_type_symbol
_atom_site_fract_x
_atom_site_fract_y
_atom_site_fract_z
_atom_site_occupancy
Sr1 Sr 0.000 0.000 0.000 1
H1 H 0.500 0.500 0.500 1
Br1 Br 0.000 0.500 0.500 1


Entry 20:
# PBE CeMg2Cu9, optimized geometry
# - VASP energy: -143.4 eV per cell
# - DFT formation energy: -0.150 eV/atom
data_CeMg2Cu9
_cell_length_a 5.0637
_cell_length_b 5.0637
_cell_length_c 24.1413
_cell_angle_alpha 90.00
_cell_angle_beta 90.00
_cell_angle_gamma 120.00
_space_group_name_H-M_alt 'R -3 m'
_space_group_IT_number 166
_space_group_name_Hall '-R 3 2"'
loop_
_atom_site_label
_atom_site_type_symbol
_atom_site_fract_x
_atom_site_fract_y
_atom_site_fract_z
_atom_site_occupancy
Ce1 Ce 0.0000 0.0000 0.0000 1
Mg1 Mg 0.0000 0.0000 0.1458 1
Cu1 Cu 0.0000 0.0000 0.3330 1
Cu2 Cu 0.0000 0.0000 0.5000 1
Cu3 Cu 0.0023 0.5011 0.9150 1